Entry 1:
The following is a DFT calculation (GGA-PBE) of a relaxed structure of PmDy7Y5.

Cell: 6.7318 8.7101 8.7101 Å, 79.49 67.27 67.27°
Last column: nearest neighbours and their distance in Å.
Atoms (fractional coordinates):
Y: 0.0015 0.4584 0.0053  2 Dy 3.10-3.45, 2 Y 3.14-3.43
Dy: 0.2697 0.7303 0.7303  6 Y 3.37-3.54, 1 Pm 3.48, 1 Dy 3.51
Y: 0.0015 0.0053 0.4584  2 Dy 3.10-3.45, 2 Y 3.14-3.43
Pm: 0.9688 0.0312 0.0312  3 Dy 3.48-3.71, 4 Y 3.77
Y: 0.7709 0.7291 0.7291  6 Dy 3.37-3.48, 4 Y 3.43
Dy: 0.0190 0.3097 0.6524  5 Y 3.45-3.49, 4 Dy 3.46-3.82, 1 Pm 3.71
Dy: 0.0190 0.6524 0.3097  5 Y 3.45-3.49, 4 Dy 3.46-3.82, 1 Pm 3.71
Y: 0.5348 0.4584 0.0053  2 Dy 3.10-3.45, 2 Y 3.14-3.43
Dy: 0.5732 0.4268 0.4268  7 Dy 3.51-3.92, 4 Y 3.73
Y: 0.5348 0.0053 0.4584  2 Dy 3.10-3.45, 2 Y 3.14-3.43
Dy: 0.2680 0.2320 0.2320  4 Y 3.10, 2 Dy 3.46
Dy: 0.5194 0.8098 0.1514  5 Y 3.47-3.48, 5 Dy 3.48-3.81
Dy: 0.5194 0.1514 0.8098  5 Y 3.47-3.48, 5 Dy 3.48-3.81

Output
The volume comes out at 434 Å³/cell. The space group is Imm2 (44). The total energy is -65.83 eV for the cell shown. The magnetic moment is 0.00 Bohr magnetons per cell. For the formation energy, the calculation gives 0.27 eV per atom.

Entry 2:
The following is a DFT calculation (GGA-PBE) of a relaxed structure of BaPt2AuC.

Cell: 5.0194 6.1257 5.0194 Å, 90.00 90.00 90.00°
Last column: nearest neighbours and their distance in Å.
Atoms (fractional coordinates):
Ba: 0.0000 0.5000 0.0000  2 Au 3.06
Pt: 0.5000 0.0000 0.0000  2 Au 2.51
Au: 0.0000 0.0000 0.0000  4 Pt 2.51
C: 0.5000 0.5000 0.5000  4 Ba 3.55, 8 Pt 3.96
Pt: 0.0000 0.0000 0.5000  2 Au 2.51

Output
The volume comes out at 154 Å³/cell. The space group is P4/mmm (123). The total energy is -18.40 eV for the cell shown. The magnetic moment is 2.46 Bohr magnetons per cell. For the formation energy, the calculation gives 1.62 eV per atom.

Entry 3:
The following is a DFT calculation (GGA-PBE) of a relaxed structure of BaY3I.

Cell: 5.8415 5.8415 5.8415 Å, 90.00 90.00 90.00°
Last column: nearest neighbours and their distance in Å.
Atoms (fractional coordinates):
Y: 0.5000 0.0000 0.0000  2 I 2.92
I: 0.0000 0.0000 0.0000  6 Y 2.92
Y: 0.0000 0.0000 0.5000  2 I 2.92
Y: 0.0000 0.5000 0.0000  2 I 2.92
Ba: 0.5000 0.5000 0.5000  12 Y 4.13

Output
The volume comes out at 199 Å³/cell. The space group is Pm-3m (221). The total energy is -22.34 eV for the cell shown. The magnetic moment is 0.00 Bohr magnetons per cell. Its uncorrected formation energy is 0.104 eV per atom.

Entry 4:
The following is a DFT calculation (GGA-PBE) of a relaxed structure of Dy3Cu5O12.

Cell: 10.6803 10.6803 10.6803 Å, 109.47 109.47 109.47°
Last column: nearest neighbours and their distance in Å.
Atoms (fractional coordinates):
O: 0.5782 0.7031 0.6722  2 Cu 1.89-1.97
O: 0.9691 0.3751 0.2969  2 Cu 1.89-1.97
Cu: 0.2500 0.8750 0.1250  4 O 1.89
O: 0.4060 0.0309 0.3278  2 Cu 1.89-1.97
O: 0.4218 0.1249 0.5940  2 Cu 1.89-1.97
Cu: 0.5000 0.0000 0.0000  6 O 1.97
Dy: 0.3750 0.7500 0.6250  8 O 2.32-2.45
Cu: 0.0000 0.0000 0.5000  6 O 1.97
O: 0.2969 0.4218 0.8278  2 Cu 1.89-1.97
Cu: 0.0000 0.5000 0.5000  6 O 1.97
Cu: 0.8750 0.6250 0.7500  4 O 1.89
O: 0.3278 0.5309 0.4060  2 Cu 1.89-1.97
Dy: 0.6250 0.3750 0.7500  8 O 2.32-2.45
O: 0.5309 0.3278 0.9060  2 Cu 1.89-1.97
O: 0.0940 0.1722 0.4691  2 Cu 1.89-1.97
O: 0.5309 0.2031 0.1249  2 Cu 1.89-1.97
O: 0.8751 0.5782 0.9060  2 Cu 1.89-1.97
Dy: 0.7500 0.8750 0.6250  8 O 2.32-2.45
Cu: 0.5000 0.0000 0.5000  6 O 1.97
Dy: 0.6250 0.2500 0.3750  8 O 2.32-2.45
Cu: 0.5000 0.5000 0.0000  6 O 1.97
Cu: 0.3750 0.2500 0.1250  4 O 1.89
O: 0.1722 0.0782 0.7031  2 Cu 1.89-1.97
O: 0.7031 0.5782 0.1722  2 Cu 1.89-1.97
O: 0.4060 0.3751 0.5782  2 Cu 1.89-1.97
O: 0.9060 0.0782 0.8751  2 Cu 1.89-1.97
O: 0.3751 0.9691 0.7969  2 Cu 1.89-1.97
Cu: 0.1250 0.3750 0.2500  4 O 1.89
O: 0.2031 0.5309 0.6249  2 Cu 1.89-1.97
Cu: 0.7500 0.6250 0.3750  4 O 1.89
O: 0.4691 0.7969 0.8751  2 Cu 1.89-1.97
O: 0.0782 0.1722 0.2031  2 Cu 1.89-1.97
O: 0.9218 0.8278 0.7969  2 Cu 1.89-1.97
O: 0.6249 0.0309 0.2031  2 Cu 1.89-1.97
O: 0.3278 0.7969 0.4218  2 Cu 1.89-1.97
O: 0.2031 0.6722 0.0782  2 Cu 1.89-1.97
Dy: 0.1250 0.8750 0.7500  8 O 2.32-2.45
Cu: 0.1250 0.7500 0.3750  4 O 1.89
O: 0.0782 0.9060 0.3751  2 Cu 1.89-1.97
O: 0.5940 0.6249 0.4218  2 Cu 1.89-1.97
O: 0.7969 0.3278 0.9218  2 Cu 1.89-1.97
O: 0.0309 0.4060 0.8278  2 Cu 1.89-1.97
O: 0.1249 0.7031 0.5309  2 Cu 1.89-1.97
Dy: 0.2500 0.1250 0.3750  8 O 2.32-2.45
O: 0.6249 0.5940 0.9218  2 Cu 1.89-1.97
Dy: 0.7500 0.3750 0.1250  8 O 2.32-2.45
Dy: 0.8750 0.1250 0.2500  8 O 2.32-2.45
Cu: 0.3750 0.1250 0.7500  4 O 1.89
O: 0.2969 0.8751 0.9691  2 Cu 1.89-1.97
O: 0.9691 0.5940 0.1722  2 Cu 1.89-1.97
Cu: 0.5000 0.5000 0.5000  6 O 1.97
O: 0.8278 0.9060 0.0309  2 Cu 1.89-1.97
O: 0.0309 0.6249 0.7031  2 Cu 1.89-1.97
O: 0.5782 0.8751 0.4060  2 Cu 1.89-1.97
O: 0.1249 0.4218 0.0940  2 Cu 1.89-1.97
Dy: 0.8750 0.7500 0.1250  8 O 2.32-2.45
O: 0.7031 0.1249 0.0309  2 Cu 1.89-1.97
Cu: 0.6250 0.7500 0.8750  4 O 1.89
O: 0.3751 0.4060 0.0782  2 Cu 1.89-1.97
O: 0.9060 0.8278 0.5309  2 Cu 1.89-1.97
O: 0.5940 0.9691 0.6722  2 Cu 1.89-1.97
O: 0.8751 0.2969 0.4691  2 Cu 1.89-1.97
O: 0.8278 0.9218 0.2969  2 Cu 1.89-1.97
O: 0.1722 0.0940 0.9691  2 Cu 1.89-1.97
Cu: 0.0000 0.5000 0.0000  6 O 1.97
Cu: 0.6250 0.8750 0.2500  4 O 1.89
O: 0.6722 0.4691 0.5940  2 Cu 1.89-1.97
Cu: 0.0000 0.0000 0.0000  6 O 1.97
O: 0.4691 0.6722 0.0940  2 Cu 1.89-1.97
O: 0.0940 0.9218 0.1249  2 Cu 1.89-1.97
Cu: 0.7500 0.1250 0.8750  4 O 1.89
Dy: 0.2500 0.6250 0.8750  8 O 2.32-2.45
Cu: 0.8750 0.2500 0.6250  4 O 1.89
Dy: 0.3750 0.6250 0.2500  8 O 2.32-2.45
O: 0.4218 0.2969 0.3278  2 Cu 1.89-1.97
Dy: 0.1250 0.2500 0.8750  8 O 2.32-2.45
O: 0.7969 0.4691 0.3751  2 Cu 1.89-1.97
O: 0.6722 0.2031 0.5782  2 Cu 1.89-1.97
Cu: 0.2500 0.3750 0.6250  4 O 1.89
O: 0.9218 0.0940 0.6249  2 Cu 1.89-1.97

Output
The volume comes out at 938 Å³/cell. The space group is Ia-3d (230). The total energy is -499.35 eV for the cell shown. The magnetic moment is 3.89 Bohr magnetons per cell. Its uncorrected formation energy is -1.553 eV per atom.

Entry 5:
The following is a DFT calculation (GGA-PBE) of a relaxed structure of AcReAg2O6.

Cell: 5.8718 5.8717 6.0371 Å, 60.90 60.90 60.00°
Last column: nearest neighbours and their distance in Å.
Atoms (fractional coordinates):
O: 0.6440 0.1152 0.8292  1 Re 1.91
O: 0.4116 0.6440 0.8293  1 Re 1.91
O: 0.9886 0.5178 0.2727  1 Re 1.91
O: 0.5178 0.2208 0.2727  1 Re 1.91
Ac: 0.8160 0.8160 0.5520  6 O 2.52
O: 0.2208 0.9886 0.2727  1 Re 1.91
Ag: 0.5585 0.5585 0.3244  3 O 2.29
O: 0.1152 0.4116 0.8292  1 Re 1.91
Ag: 0.0729 0.0729 0.7813  3 O 2.29
Re: 0.3162 0.3161 0.0516  6 O 1.91

Output
The volume comes out at 149 Å³/cell. The space group is R3 (146). The total energy is -67.48 eV for the cell shown. The magnetic moment is 0.00 Bohr magnetons per cell. Its uncorrected formation energy is -1.547 eV per atom.

Entry 6:
The following is a DFT calculation (GGA-PBE) of a relaxed structure of Na3UGe2Se6.

Cell: 7.1540 7.1540 7.2416 Å, 99.48 99.48 120.03°
Last column: nearest neighbours and their distance in Å.
Atoms (fractional coordinates):
Se: 0.0739 0.3988 0.2213  1 U 2.77, 2 Ge 2.85-2.86, 3 Na 3.03-3.06
Ge: 0.6655 0.3345 0.0000  6 Se 2.84-2.86
Se: 0.9261 0.6012 0.7787  1 U 2.77, 2 Ge 2.85-2.86, 3 Na 3.03-3.06
Ge: 0.3345 0.6655 0.0000  6 Se 2.84-2.86
Se: 0.7484 0.7484 0.2206  1 U 2.77, 2 Ge 2.84, 3 Na 3.07-3.10
Se: 0.2516 0.2516 0.7794  1 U 2.77, 2 Ge 2.84, 3 Na 3.07-3.10
Na: 0.8291 0.1709 0.5000  6 Se 3.03-3.07
Se: 0.3988 0.0739 0.2213  1 U 2.77, 2 Ge 2.85-2.86, 3 Na 3.03-3.06
Na: 0.5000 0.5000 0.5000  6 Se 3.03-3.10
Na: 0.1709 0.8291 0.5000  6 Se 3.03-3.07
Se: 0.6012 0.9261 0.7787  1 U 2.77, 2 Ge 2.85-2.86, 3 Na 3.03-3.06
U: 0.0000 0.0000 0.0000  6 Se 2.77

Output
The volume comes out at 303 Å³/cell. The space group is C2/m (12). The total energy is -55.94 eV for the cell shown. The magnetic moment is 1.00 Bohr magnetons per cell. Its uncorrected formation energy is -0.879 eV per atom.

Entry 7:
The following is a DFT calculation (GGA-PBE) of a relaxed structure of Rb3BaHf.

Cell: 7.1353 7.1353 7.1353 Å, 90.00 90.00 90.00°
Last column: nearest neighbours and their distance in Å.
Atoms (fractional coordinates):
Hf: 0.0000 0.0000 0.0000  6 Rb 3.57
Rb: 0.0000 0.5000 0.0000  2 Hf 3.57
Rb: 0.5000 0.0000 0.0000  2 Hf 3.57
Ba: 0.5000 0.5000 0.5000  12 Rb 5.05
Rb: 0.0000 0.0000 0.5000  2 Hf 3.57

Output
The volume comes out at 363 Å³/cell. The space group is Pm-3m (221). The total energy is -9.16 eV for the cell shown. The magnetic moment is 4.93 Bohr magnetons per cell. For the formation energy, the calculation gives 1.12 eV per atom.

Entry 8:
The following is a DFT calculation (GGA-PBE) of a relaxed structure of CaAgO2.

Cell: 4.1678 4.1678 4.1678 Å, 60.00 60.00 60.00°
Last column: nearest neighbours and their distance in Å.
Atoms (fractional coordinates):
O: 0.2500 0.2500 0.2500  4 Ag 2.55, 4 Ca 2.55
Ca: 0.0000 0.0000 0.0000  8 O 2.55
O: 0.7500 0.7500 0.7500  4 Ag 2.55, 4 Ca 2.55
Ag: 0.5000 0.5000 0.5000  8 O 2.55

Output
The volume comes out at 51 Å³/cell. The space group is Fm-3m (225). The total energy is -19.26 eV for the cell shown. The magnetic moment is 1.00 Bohr magnetons per cell. Its uncorrected formation energy is -1.123 eV per atom.

Entry 9:
The following is a DFT calculation (GGA-PBE) of a relaxed structure of Tb6PmEr12.

Cell: 9.2054 9.2054 9.2054 Å, 106.84 106.84 106.84°
Last column: nearest neighbours and their distance in Å.
Atoms (fractional coordinates):
Er: 0.1122 0.8878 0.5000  4 Tb 3.31-3.44, 3 Er 3.32-3.42
Er: 0.6600 0.6600 0.8933  4 Tb 3.33-3.52, 1 Pm 3.36, 4 Er 3.42-3.45
Er: 0.5000 0.8878 0.1122  4 Tb 3.31-3.44, 3 Er 3.32-3.42
Tb: 0.3135 0.3135 0.7116  8 Er 3.31-3.52, 2 Tb 3.57
Er: 0.8878 0.5000 0.1122  4 Tb 3.31-3.44, 3 Er 3.32-3.42
Tb: 0.6865 0.2884 0.6865  8 Er 3.31-3.52, 2 Tb 3.57
Tb: 0.2884 0.6865 0.6865  8 Er 3.31-3.52, 2 Tb 3.57
Er: 0.1122 0.5000 0.8878  4 Tb 3.31-3.44, 3 Er 3.32-3.42
Er: 0.8878 0.1122 0.5000  4 Tb 3.31-3.44, 3 Er 3.32-3.42
Er: 0.5000 0.1122 0.8878  4 Tb 3.31-3.44, 3 Er 3.32-3.42
Er: 0.3400 0.3400 0.1067  4 Tb 3.33-3.52, 1 Pm 3.36, 4 Er 3.42-3.45
Tb: 0.7116 0.3135 0.3135  8 Er 3.31-3.52, 2 Tb 3.57
Er: 0.8933 0.6600 0.6600  4 Tb 3.33-3.52, 1 Pm 3.36, 4 Er 3.42-3.45
Er: 0.6600 0.8933 0.6600  4 Tb 3.33-3.52, 1 Pm 3.36, 4 Er 3.42-3.45
Er: 0.1067 0.3400 0.3400  4 Tb 3.33-3.52, 1 Pm 3.36, 4 Er 3.42-3.45
Pm: 0.0000 0.0000 0.0000  6 Er 3.36
Er: 0.3400 0.1067 0.3400  4 Tb 3.33-3.52, 1 Pm 3.36, 4 Er 3.42-3.45
Tb: 0.3135 0.7116 0.3135  8 Er 3.31-3.52, 2 Tb 3.57
Tb: 0.6865 0.6865 0.2884  8 Er 3.31-3.52, 2 Tb 3.57

Output
The volume comes out at 653 Å³/cell. The space group is R-3m (166). The total energy is -78.73 eV for the cell shown. The magnetic moment is 0.03 Bohr magnetons per cell. For the formation energy, the calculation gives 0.45 eV per atom.

Entry 10:
The following is a DFT calculation (GGA-PBE) of a relaxed structure of HfIrSeN2.

Cell: 4.0101 4.0101 5.5855 Å, 90.00 90.00 90.00°
Last column: nearest neighbours and their distance in Å.
Atoms (fractional coordinates):
Se: 0.0000 0.0000 0.5000  2 Hf 2.79, 4 Ir 2.84
Ir: 0.5000 0.5000 0.5000  4 Se 2.84
N: 0.5000 0.0000 0.0000  2 Hf 2.01
Hf: 0.0000 0.0000 0.0000  4 N 2.01
N: 0.0000 0.5000 0.0000  2 Hf 2.01

Output
The volume comes out at 90 Å³/cell. The space group is P4/mmm (123). The total energy is -34.26 eV for the cell shown. The magnetic moment is 2.39 Bohr magnetons per cell. Its uncorrected formation energy is 0.937 eV per atom.

Entry 11:
The following is a DFT calculation (GGA-PBE) of a relaxed structure of RbMn2Ru.

Cell: 5.5912 5.5912 8.6136 Å, 71.06 71.06 90.00°
Last column: nearest neighbours and their distance in Å.
Atoms (fractional coordinates):
Mn: 0.8750 0.1250 0.7500  2 Ru 2.37
Rb: 0.2500 0.7500 0.5000  8 Mn 3.66, 4 Ru 3.95
Ru: 0.7500 0.2500 0.5000  4 Mn 2.37
Rb: 0.5000 0.5000 0.0000  8 Mn 3.66, 4 Ru 3.95
Mn: 0.8750 0.1250 0.2500  2 Ru 2.37
Mn: 0.8750 0.6250 0.2500  2 Ru 2.37
Mn: 0.3750 0.1250 0.7500  2 Ru 2.37
Ru: 0.0000 0.0000 0.0000  4 Mn 2.37

Output
The volume comes out at 239 Å³/cell. The space group is I4_1/amd (141). The total energy is -47.84 eV for the cell shown. The magnetic moment is 14.79 Bohr magnetons per cell. For the formation energy, the calculation gives 1.17 eV per atom.

Entry 12:
The following is a DFT calculation (GGA-PBE) of a relaxed structure of Pr2Ho6Th3.

Cell: 6.1817 6.1765 12.9370 Å, 76.15 61.41 59.97°
Last column: nearest neighbours and their distance in Å.
Atoms (fractional coordinates):
Th: 0.6665 0.6671 0.0000  6 Ho 3.45-3.46, 6 Th 3.56-3.57
Ho: 0.4254 0.3302 0.2435  3 Th 3.44-3.46, 6 Ho 3.53-3.58, 2 Pr 3.57
Ho: 0.9145 0.0000 0.7560  3 Th 3.44-3.46, 6 Ho 3.54-3.58, 2 Pr 3.57
Th: 0.3335 0.3329 0.0000  6 Ho 3.45-3.46, 6 Th 3.56-3.57
Pr: 0.1673 0.6655 0.5000  3 Pr 3.56-3.58, 6 Ho 3.57
Ho: 0.7557 0.6698 0.2435  3 Th 3.44-3.46, 6 Ho 3.53-3.58, 2 Pr 3.57
Pr: 0.8327 0.3345 0.5000  3 Pr 3.56-3.58, 6 Ho 3.57
Th: 0.0000 0.0000 0.0000  6 Ho 3.44, 6 Th 3.57
Ho: 0.5746 0.6698 0.7565  3 Th 3.44-3.46, 6 Ho 3.53-3.58, 2 Pr 3.57
Ho: 0.0855 0.0000 0.2440  3 Th 3.44-3.46, 6 Ho 3.54-3.58, 2 Pr 3.57
Ho: 0.2443 0.3302 0.7565  3 Th 3.44-3.46, 6 Ho 3.53-3.58, 2 Pr 3.57

Output
The volume comes out at 376 Å³/cell. The space group is C2/m (12). The total energy is -57.63 eV for the cell shown. The magnetic moment is 0.00 Bohr magnetons per cell. For the formation energy, the calculation gives 0.15 eV per atom.